VASP calculation (PBE) on a relaxed Hf4CdTeC2 crystal.

Calculated values
**E_tot**: -8.47 eV per atom
**Magnetization**: 0.0001 μB/atom

The structure in extended XYZ format:
```
8
Lattice="-2.733 1.369 -1.484 2.340 -1.587 -1.884 -6.984 -12.203 1.608" Properties=species:S:1:pos:R:3 pbc="T T T"
Hf -5.104 -10.654 -0.426
Hf -2.415 -4.219 0.556
Te -2.843 -6.704 -0.947
C -2.858 -2.790 -1.199
C -6.209 -8.646 -0.428
Cd 0.000 0.000 0.000
Hf -0.582 -2.753 -1.467
Hf -4.569 -7.984 1.052
```


VASP calculation (PBE) on a relaxed KTaW crystal.

Calculated values
**Energy above the lowest structure with this stoichiometry**: 1238 meV per atom
**Magnetization**: 0.3835 μB/atom

The structure in extended XYZ format:
```
3
Lattice="-3.446 -1.405 -2.779 -3.412 2.939 -1.137 -0.303 1.641 -4.334" Properties=species:S:1:pos:R:3 pbc="T T T"
K 0.000 0.000 0.000
W -5.370 2.382 -6.188
Ta -1.790 0.794 -2.063
```


VASP calculation (PBE) on a relaxed Nb2BiW crystal.

Calculated values
**E_tot**: -8.76 eV per atom
**Magnetization**: 0.0039 μB/atom

The structure in extended XYZ format:
```
4
Lattice="0.000 3.363 3.363 3.363 0.000 3.363 3.363 3.363 0.000" Properties=species:S:1:pos:R:3 pbc="T T T"
W 1.681 1.681 1.681
Nb 5.044 5.044 5.044
Nb 0.000 0.000 0.000
Bi 3.363 3.363 3.363
```


VASP calculation (PBE) on a relaxed HfCdGaCo crystal.

Calculated values
**Energy above the lowest structure with this stoichiometry**: 0 meV per atom
**Magnetization**: 0.0013 μB/atom

The structure in extended XYZ format:
```
4
Lattice="-1.868 2.356 3.389 -0.904 4.407 -0.533 -4.294 1.409 -0.318" Properties=species:S:1:pos:R:3 pbc="T T T"
Hf -3.533 4.086 1.269
Ga 0.000 0.000 0.000
Cd -1.767 2.043 0.634
Co -5.300 6.130 1.903
```